VASP calculation (PBE-GGA) on crystalline PuTl2S4 at its relaxed geometry.

Values from the calculation:
crystal system = orthorhombic
space group = Imma
VASP energy = -80.15 eV per cell
mass density = 6.30 g/cm3

a b c (Å): 8.359 8.359 8.359
angles (deg): 120.40 120.10 89.56
Positions (direct):
Pu1 0.500 0.000 0.000
Pu2 0.500 0.500 0.500
Tl1 0.000 0.000 0.000
Tl2 0.130 0.380 0.750
Tl3 0.500 0.000 0.500
Tl4 0.870 0.620 0.250
S1 0.271 0.239 0.468
S2 0.271 0.803 0.032
S3 0.296 0.250 0.046
S4 0.296 0.750 0.546
S5 0.704 0.250 0.454
S6 0.704 0.750 0.954
S7 0.729 0.197 0.968
S8 0.729 0.761 0.532

***

VASP calculation (PBE-GGA) on crystalline PuTl3S4 at its relaxed geometry.

Values from the calculation:
crystal system = monoclinic
space group = P2/c
relative energy among the computed polymorphs = 0.0000 eV per atom
mass density = 7.17 g/cm3

a b c (Å): 7.694 8.718 7.202
angles (deg): 90.00 109.09 90.00
Positions (direct):
Pu1 0.000 0.109 0.250
Pu2 0.000 0.891 0.750
Tl1 0.000 0.390 0.750
Tl2 0.000 0.610 0.250
Tl3 0.500 0.125 0.750
Tl4 0.500 0.368 0.250
Tl5 0.500 0.632 0.750
Tl6 0.500 0.875 0.250
S1 0.198 0.101 0.001
S2 0.198 0.899 0.501
S3 0.212 0.322 0.452
S4 0.212 0.678 0.952
S5 0.788 0.322 0.048
S6 0.788 0.678 0.548
S7 0.802 0.101 0.499
S8 0.802 0.899 0.999

***

VASP calculation (PBE-GGA) on crystalline PuTlS at its relaxed geometry.

Values from the calculation:
crystal system = trigonal
space group = R-3m
VASP energy = -46.61 eV per cell
mass density = 9.59 g/cm3

a b c (Å): 9.292 9.292 9.292
angles (deg): 28.97 28.97 28.97
Positions (direct):
Pu1 0.107 0.107 0.107
Pu2 0.893 0.893 0.893
Tl1 0.359 0.359 0.359
Tl2 0.641 0.641 0.641
S1 0.209 0.209 0.209
S2 0.791 0.791 0.791

***

VASP calculation (PBE-GGA) on crystalline PuTl3S4 at its relaxed geometry.

Values from the calculation:
crystal system = orthorhombic
space group = Cmmm
relative energy among the computed polymorphs = 0.0092 eV per atom
mass density = 7.41 g/cm3

a b c (Å): 7.545 7.545 4.097
angles (deg): 90.00 90.00 108.69
Positions (direct):
Pu1 0.000 0.000 0.000
Tl1 0.000 0.500 0.500
Tl2 0.500 0.000 0.500
Tl3 0.500 0.500 0.000
S1 0.203 0.203 0.500
S2 0.214 0.786 0.000
S3 0.786 0.214 0.000
S4 0.797 0.797 0.500

***

VASP calculation (PBE-GGA) on crystalline PuTl5S5 at its relaxed geometry.

Values from the calculation:
crystal system = monoclinic
space group = C2/m
VASP energy = -53.10 eV per cell
mass density = 7.19 g/cm3

a b c (Å): 7.501 7.501 8.810
angles (deg): 110.89 110.89 46.11
Positions (direct):
Pu1 0.000 0.000 0.000
Tl1 0.000 0.000 0.500
Tl2 0.304 0.304 0.696
Tl3 0.348 0.348 0.194
Tl4 0.652 0.652 0.806
Tl5 0.696 0.696 0.304
S1 0.136 0.136 0.296
S2 0.152 0.152 0.892
S3 0.500 0.500 0.000
S4 0.848 0.848 0.108
S5 0.864 0.864 0.704

***

VASP calculation (PBE-GGA) on crystalline Pu5Tl3S12 at its relaxed geometry.

Values from the calculation:
crystal system = cubic
space group = Ia-3d
VASP energy = -584.17 eV per cell
mass density = 6.21 g/cm3

a b c (Å): 14.549 14.549 14.549
angles (deg): 109.47 109.47 109.47
Positions (direct):
Pu1 0.000 0.000 0.000
Pu2 0.000 0.000 0.500
Pu3 0.000 0.500 0.000
Pu4 0.000 0.500 0.500
Pu5 0.125 0.750 0.875
Pu6 0.125 0.875 0.250
Pu7 0.250 0.125 0.875
Pu8 0.250 0.625 0.375
Pu9 0.375 0.250 0.625
Pu10 0.375 0.625 0.750
Pu11 0.500 0.000 0.000
Pu12 0.500 0.000 0.500
Pu13 0.500 0.500 0.000
Pu14 0.500 0.500 0.500
Pu15 0.625 0.375 0.250
Pu16 0.625 0.750 0.375
Pu17 0.750 0.375 0.625
Pu18 0.750 0.875 0.125
Pu19 0.875 0.125 0.750
Pu20 0.875 0.250 0.125
Tl1 0.125 0.250 0.375
Tl2 0.125 0.375 0.750
Tl3 0.250 0.375 0.125
Tl4 0.250 0.875 0.625
Tl5 0.375 0.125 0.250
Tl6 0.375 0.750 0.125
Tl7 0.625 0.250 0.875
Tl8 0.625 0.875 0.750
Tl9 0.750 0.125 0.375
Tl10 0.750 0.625 0.875
Tl11 0.875 0.625 0.250
Tl12 0.875 0.750 0.625
S1 0.024 0.199 0.108
S2 0.024 0.325 0.916
S3 0.084 0.608 0.409
S4 0.084 0.976 0.675
S5 0.091 0.699 0.675
S6 0.091 0.892 0.416
S7 0.108 0.024 0.199
S8 0.108 0.584 0.909
S9 0.175 0.199 0.591
S10 0.175 0.476 0.584
S11 0.199 0.108 0.024
S12 0.199 0.591 0.175
S13 0.301 0.325 0.909
S14 0.301 0.476 0.392
S15 0.325 0.909 0.301
S16 0.325 0.916 0.024
S17 0.392 0.301 0.476
S18 0.392 0.591 0.916
S19 0.409 0.084 0.608
S20 0.409 0.825 0.801
S21 0.416 0.091 0.892
S22 0.416 0.825 0.524
S23 0.476 0.392 0.301
S24 0.476 0.584 0.175
S25 0.524 0.416 0.825
S26 0.524 0.608 0.699
S27 0.584 0.175 0.476
S28 0.584 0.909 0.108
S29 0.591 0.175 0.199
S30 0.591 0.916 0.392
S31 0.608 0.409 0.084
S32 0.608 0.699 0.524
S33 0.675 0.084 0.976
S34 0.675 0.091 0.699
S35 0.699 0.524 0.608
S36 0.699 0.675 0.091
S37 0.801 0.409 0.825
S38 0.801 0.892 0.976
S39 0.825 0.524 0.416
S40 0.825 0.801 0.409
S41 0.892 0.416 0.091
S42 0.892 0.976 0.801
S43 0.909 0.108 0.584
S44 0.909 0.301 0.325
S45 0.916 0.024 0.325
S46 0.916 0.392 0.591
S47 0.976 0.675 0.084
S48 0.976 0.801 0.892

***

VASP calculation (PBE-GGA) on crystalline Pu2TlS3 at its relaxed geometry.

Values from the calculation:
crystal system = hexagonal
space group = P6_3/mmc
VASP energy = -103.73 eV per cell
mass density = 8.57 g/cm3

a b c (Å): 4.049 4.049 21.534
angles (deg): 90.00 90.00 120.00
Positions (direct):
Pu1 0.333 0.667 0.077
Pu2 0.333 0.667 0.423
Pu3 0.667 0.333 0.577
Pu4 0.667 0.333 0.923
Tl1 0.000 0.000 0.250
Tl2 0.000 0.000 0.750
S1 0.000 0.000 0.000
S2 0.000 0.000 0.500
S3 0.333 0.667 0.643
S4 0.333 0.667 0.857
S5 0.667 0.333 0.143
S6 0.667 0.333 0.357

***

VASP calculation (PBE-GGA) on crystalline PuTl4S4 at its relaxed geometry.

Values from the calculation:
crystal system = monoclinic
space group = C2/m
relative energy among the computed polymorphs = 0.0000 eV per atom
mass density = 7.42 g/cm3

a b c (Å): 7.440 7.440 10.567
angles (deg): 119.89 119.89 32.19
Positions (direct):
Pu1 0.000 0.000 0.000
Tl1 0.200 0.200 0.777
Tl2 0.416 0.416 0.610
Tl3 0.584 0.584 0.390
Tl4 0.800 0.800 0.223
S1 0.168 0.168 0.280
S2 0.406 0.406 0.063
S3 0.594 0.594 0.937
S4 0.832 0.832 0.720

***

VASP calculation (PBE-GGA) on crystalline Pu3Tl4S8 at its relaxed geometry.

Values from the calculation:
crystal system = trigonal
space group = R-3m
relative energy among the computed polymorphs = 0.0000 eV per atom
mass density = 6.59 g/cm3

a b c (Å): 9.135 9.135 9.135
angles (deg): 53.36 53.36 53.36
Positions (direct):
Pu1 0.000 0.500 0.500
Pu2 0.500 0.000 0.500
Pu3 0.500 0.500 0.000
Tl1 0.000 0.000 0.000
Tl2 0.143 0.143 0.143
Tl3 0.500 0.500 0.500
Tl4 0.857 0.857 0.857
S1 0.246 0.246 0.698
S2 0.246 0.698 0.246
S3 0.276 0.276 0.276
S4 0.302 0.754 0.754
S5 0.698 0.246 0.246
S6 0.724 0.724 0.724
S7 0.754 0.302 0.754
S8 0.754 0.754 0.302

***

VASP calculation (PBE-GGA) on crystalline Pu3Tl4S8 at its relaxed geometry.

Values from the calculation:
crystal system = monoclinic
space group = C2/m
relative energy among the computed polymorphs = 0.1594 eV per atom
mass density = 7.56 g/cm3

a b c (Å): 8.241 8.241 8.232
angles (deg): 119.95 119.95 89.83
Positions (direct):
Pu1 0.000 0.000 0.000
Pu2 0.000 0.500 0.500
Pu3 0.500 0.000 0.500
Tl1 0.000 0.000 0.500
Tl2 0.000 0.500 0.000
Tl3 0.500 0.000 0.000
Tl4 0.500 0.500 0.000
S1 0.219 0.219 0.986
S2 0.234 0.766 0.000
S3 0.236 0.236 0.467
S4 0.250 0.750 0.500
S5 0.750 0.250 0.500
S6 0.764 0.764 0.533
S7 0.766 0.234 0.000
S8 0.781 0.781 0.014

***

VASP calculation (PBE-GGA) on crystalline Pu2Tl2S7 at its relaxed geometry.

Values from the calculation:
crystal system = orthorhombic
space group = Imm2
VASP energy = -70.51 eV per cell
mass density = 6.70 g/cm3

a b c (Å): 9.083 9.083 9.083
angles (deg): 154.16 65.50 120.98
Positions (direct):
Pu1 0.000 0.000 0.000
Pu2 0.506 0.006 0.500
Tl1 0.035 0.746 0.288
Tl2 0.458 0.746 0.712
S1 0.199 0.699 0.500
S2 0.202 0.029 0.172
S3 0.387 0.497 0.890
S4 0.608 0.497 0.110
S5 0.744 0.311 0.433
S6 0.857 0.029 0.828
S7 0.879 0.311 0.567

***

VASP calculation (PBE-GGA) on crystalline Pu3TlS6 at its relaxed geometry.

Values from the calculation:
crystal system = orthorhombic
space group = Cmc2_1
VASP energy = -166.10 eV per cell
mass density = 7.95 g/cm3

a b c (Å): 8.278 8.278 7.022
angles (deg): 90.00 90.00 101.53
Positions (direct):
Pu1 0.099 0.901 0.500
Pu2 0.213 0.414 0.595
Pu3 0.414 0.213 0.095
Pu4 0.586 0.787 0.595
Pu5 0.787 0.586 0.095
Pu6 0.901 0.099 0.000
Tl1 0.301 0.699 0.104
Tl2 0.699 0.301 0.604
S1 0.017 0.577 0.371
S2 0.123 0.196 0.293
S3 0.196 0.123 0.793
S4 0.273 0.727 0.699
S5 0.423 0.983 0.371
S6 0.486 0.514 0.358
S7 0.514 0.486 0.858
S8 0.577 0.017 0.871
S9 0.727 0.273 0.199
S10 0.804 0.877 0.293
S11 0.877 0.804 0.793
S12 0.983 0.423 0.871

***

VASP calculation (PBE-GGA) on crystalline PuTl4S4 at its relaxed geometry.

Values from the calculation:
crystal system = tetragonal
space group = I-42m
relative energy among the computed polymorphs = 0.2531 eV per atom
mass density = 6.22 g/cm3

a b c (Å): 7.769 7.769 7.769
angles (deg): 122.61 122.61 85.54
Positions (direct):
Pu1 0.000 0.000 0.000
Tl1 0.000 0.500 0.500
Tl2 0.332 0.332 0.000
Tl3 0.500 0.000 0.500
Tl4 0.668 0.668 0.000
S1 0.039 0.669 0.000
S2 0.331 0.331 0.370
S3 0.669 0.039 0.000
S4 0.961 0.961 0.630

***

VASP calculation (PBE-GGA) on crystalline TmPu3Tl3S8 at its relaxed geometry.

Values from the calculation:
crystal system = trigonal
space group = R-3m
VASP energy = -107.66 eV per cell
mass density = 6.99 g/cm3

a b c (Å): 8.815 8.815 8.815
angles (deg): 54.33 54.33 54.33
Positions (direct):
Tm1 0.000 0.000 0.000
Pu1 0.000 0.500 0.500
Pu2 0.500 0.000 0.500
Pu3 0.500 0.500 0.000
Tl1 0.000 0.000 0.500
Tl2 0.000 0.500 0.000
Tl3 0.500 0.000 0.000
S1 0.230 0.230 0.733
S2 0.230 0.733 0.230
S3 0.267 0.770 0.770
S4 0.269 0.269 0.269
S5 0.731 0.731 0.731
S6 0.733 0.230 0.230
S7 0.770 0.267 0.770
S8 0.770 0.770 0.267

***

VASP calculation (PBE-GGA) on crystalline Tm2PuTl3S6 at its relaxed geometry.

Values from the calculation:
crystal system = monoclinic
space group = C2/m
VASP energy = -71.66 eV per cell
mass density = 7.31 g/cm3

a b c (Å): 6.967 6.967 7.845
angles (deg): 98.51 98.51 119.99
Positions (direct):
Tm1 0.167 0.833 0.000
Tm2 0.833 0.167 0.000
Pu1 0.500 0.500 0.000
Tl1 0.000 0.000 0.500
Tl2 0.334 0.666 0.500
Tl3 0.666 0.334 0.500
S1 0.095 0.435 0.804
S2 0.225 0.225 0.195
S3 0.435 0.095 0.804
S4 0.565 0.905 0.196
S5 0.775 0.775 0.805
S6 0.905 0.565 0.196

***

VASP calculation (PBE-GGA) on crystalline TmPuTl2S4 at its relaxed geometry.

Values from the calculation:
crystal system = monoclinic
space group = P2/m
VASP energy = -50.72 eV per cell
mass density = 7.46 g/cm3

a b c (Å): 6.995 4.035 7.844
angles (deg): 90.00 107.30 90.00
Positions (direct):
Tm1 0.000 0.000 0.000
Pu1 0.500 0.500 0.000
Tl1 0.000 0.500 0.500
Tl2 0.500 0.000 0.500
S1 0.226 0.500 0.196
S2 0.264 0.000 0.805
S3 0.736 0.000 0.195
S4 0.774 0.500 0.804

***

VASP calculation (PBE-GGA) on crystalline Pu2UTl2S6 at its relaxed geometry.

Values from the calculation:
crystal system = monoclinic
space group = C2/m
VASP energy = -83.51 eV per cell
mass density = 6.92 g/cm3

a b c (Å): 6.997 6.997 7.868
angles (deg): 98.69 98.69 119.89
Positions (direct):
Pu1 0.166 0.834 0.000
Pu2 0.834 0.166 0.000
U1 0.500 0.500 0.000
Tl1 0.331 0.669 0.500
Tl2 0.669 0.331 0.500
S1 0.111 0.437 0.809
S2 0.244 0.244 0.193
S3 0.437 0.111 0.809
S4 0.563 0.889 0.191
S5 0.756 0.756 0.807
S6 0.889 0.563 0.191